First-principles (PBE+U) data for an optimized crystal structure of MgHg2WO, as listed in the Alexandria database.

Structure (CIF):
```
data_MgHg2WO
_chemical_formula_sum 'Mg1 Hg2 W1 O1'
_cell_length_a 5.166
_cell_length_b 5.166
_cell_length_c 5.669
_cell_angle_alpha 90.00
_cell_angle_beta 90.00
_cell_angle_gamma 90.00
_space_group_name_H-M_alt 'P 4/m m m'
_space_group_IT_number 123
_space_group_name_Hall '-P 4 2'
loop_
_atom_site_label
_atom_site_fract_x
_atom_site_fract_y
_atom_site_fract_z
_atom_site_occupancy
Mg1 0.000 0.000 0.000 1
Hg1 0.000 0.500 0.000 1
W1 0.000 0.000 0.500 1
O1 0.500 0.500 0.500 1
```

Raw total energy ... -1.582 eV per atom
Size of the total moment ... 0.786 μB/atom